No. 1
The following is a DFT calculation (PBE-GGA) of an optimized crystal structure of FeNi2MoH.

abc: 3.565 3.565 3.886
angles: 90.00 90.00 90.00
Fractional positions:
1 Fe 0.000 0.000 0.000
2 Ni 0.000 0.500 0.500
3 Ni 0.500 0.000 0.500
4 Mo 0.500 0.500 0.000
5 H 0.000 0.000 0.500

Calculated values
VASP energy: -6.77 eV per atom
SG: No. 123
Energy relative to the lowest polymorph listed for this composition: 0.0 meV/atom
Spin magnetization: 0.000 μB/f.u.


No. 2
The following is a DFT calculation (PBE-GGA) of an optimized crystal structure of Fe2NiMoH.

abc: 3.711 3.711 3.550
angles: 90.00 90.00 90.00
Fractional positions:
1 Fe 0.000 0.500 0.000
2 Fe 0.500 0.000 0.000
3 Ni 0.000 0.000 0.500
4 Mo 0.500 0.500 0.500
5 H 0.000 0.000 0.000

Calculated values
VASP energy: -7.35 eV per atom
SG: No. 123
Energy relative to the lowest polymorph listed for this composition: 0.0 meV/atom
Spin magnetization: 1.041 μB/f.u.


No. 3
The following is a DFT calculation (PBE-GGA) of an optimized crystal structure of Fe2NiMoH.

abc: 3.634 3.634 3.809
angles: 90.00 90.00 90.00
Fractional positions:
1 Fe 0.000 0.500 0.000
2 Fe 0.500 0.000 0.000
3 Ni 0.000 0.000 0.500
4 Mo 0.500 0.500 0.500
5 H 0.500 0.500 0.000

Calculated values
VASP energy: -7.28 eV per atom
SG: No. 123
Energy relative to the lowest polymorph listed for this composition: 64.2 meV/atom
Spin magnetization: 1.973 μB/f.u.


No. 4
The following is a DFT calculation (PBE-GGA) of an optimized crystal structure of FeNi2MoH.

abc: 3.538 3.538 3.991
angles: 90.00 90.00 90.00
Fractional positions:
1 Fe 0.000 0.000 0.000
2 Ni 0.000 0.500 0.500
3 Ni 0.500 0.000 0.500
4 Mo 0.500 0.500 0.000
5 H 0.500 0.500 0.500

Calculated values
VASP energy: -6.77 eV per atom
SG: No. 123
Energy relative to the lowest polymorph listed for this composition: 3.7 meV/atom
Spin magnetization: 0.068 μB/f.u.


No. 5
The following is a DFT calculation (PBE-GGA) of an optimized crystal structure of FeNi2MoH.

abc: 4.543 4.543 4.477
angles: 90.00 90.00 90.00
Fractional positions:
1 Fe 0.000 0.000 0.000
2 Ni 0.000 0.500 0.500
3 Ni 0.500 0.000 0.500
4 Mo 0.000 0.000 0.500
5 H 0.500 0.500 0.000

Calculated values
VASP energy: -4.88 eV per atom
SG: No. 123
Energy relative to the lowest polymorph listed for this composition: 1891.0 meV/atom
Spin magnetization: 2.322 μB/f.u.


No. 6
The following is a DFT calculation (PBE-GGA) of an optimized crystal structure of FeMo2HOs.

abc: 3.952 3.952 3.771
angles: 90.00 90.00 90.00
Fractional positions:
1 Fe 0.000 0.000 0.000
2 Mo 0.000 0.500 0.500
3 Mo 0.500 0.000 0.500
4 H 0.000 0.000 0.500
5 Os 0.500 0.500 0.000

Calculated values
VASP energy: -8.87 eV per atom
SG: No. 123
Spin magnetization: 0.839 μB/f.u.


No. 7
The following is a DFT calculation (PBE-GGA) of an optimized crystal structure of FeMoHOs2.

abc: 3.891 3.891 3.787
angles: 90.00 90.00 90.00
Fractional positions:
1 Fe 0.000 0.000 0.000
2 Mo 0.500 0.500 0.000
3 H 0.000 0.000 0.500
4 Os 0.000 0.500 0.500
5 Os 0.500 0.000 0.500

Calculated values
VASP energy: -8.91 eV per atom
SG: No. 123
Spin magnetization: 0.515 μB/f.u.


No. 8
The following is a DFT calculation (PBE-GGA) of an optimized crystal structure of Fe2MoPH.

abc: 4.144 4.144 4.556
angles: 90.00 90.00 90.00
Fractional positions:
1 Fe 0.000 0.500 0.000
2 Fe 0.500 0.000 0.000
3 Mo 0.000 0.000 0.500
4 P 0.000 0.000 0.000
5 H 0.500 0.500 0.500

Calculated values
VASP energy: -6.23 eV per atom
SG: No. 123
Spin magnetization: 3.639 μB/f.u.